Here is a geometry-optimized SrAg8Se6 structure from Alexandria. Energies are from GGA-PBE.

Cell: 7.3697 7.3697 8.4667 Å, 64.20 64.20 60.00°
Atoms (fractional coordinates):
Ag 0.5678 0.1812 0.3911
Ag 0.8599 0.5678 0.3911
Ag 0.1401 0.4322 0.6089
Ag 0.6641 0.6641 0.0077
Ag 0.4322 0.8188 0.6089
Ag 0.8188 0.1401 0.6089
Ag 0.1812 0.8599 0.3911
Ag 0.3359 0.3359 0.9923
Se 0.9312 0.2779 0.2280
Se 0.2779 0.5629 0.2280
Se 0.5629 0.9312 0.2280
Se 0.0688 0.7221 0.7720
Se 0.7221 0.4371 0.7720
Se 0.4371 0.0688 0.7720
Sr 0.0000 0.0000 0.0000

Calculated values
Formation energy without anion corrections   -0.276 eV per atom
D(E_F)   9.88 states/eV/cell
Symmetry   R-3 (148)



Here is a geometry-optimized SrAgSe2 structure from Alexandria. Energies are from GGA-PBE.

Cell: 5.1644 5.1644 5.1644 Å, 60.00 60.00 60.00°
Atoms (fractional coordinates):
Se 0.2500 0.2500 0.2500
Se 0.7500 0.7500 0.7500
Ag 0.5000 0.5000 0.5000
Sr 0.0000 0.0000 0.0000

Calculated values
Formation energy without anion corrections   -0.767 eV per atom
D(E_F)   4.45 states/eV/cell
Symmetry   Fm-3m (225)



What is the formula in the second record?
SrAgSe2



formation energy without anion corrections of number 2 (SrAgSe2)?
-0.767 eV per atom